Entry 1:
Below is MgHg3W after structural relaxation, with properties calculated at the PBE-GGA level.

Summary:
The density of states at the Fermi level is 0.7005 states/eV/atom. The calculation puts the relative energy among the computed polymorphs at 0.0 meV/atom. The formation energy comes out at 1.009 eV per atom. The symmetry is Pm-3m, No. 221.

Unit cell a=5.2936 b=5.2936 c=5.2936 alpha=90.00 beta=90.00 gamma=90.00
Last column: nearest neighbours and their distance in Å.
Fractional positions:
Hg1 0.0000 0.0000 0.5000  2 W 2.65
Hg2 0.0000 0.5000 0.0000  2 W 2.65
Hg3 0.5000 0.0000 0.0000  2 W 2.65
Mg1 0.5000 0.5000 0.5000  12 Hg 3.74
W1 0.0000 0.0000 0.0000  6 Hg 2.65

---

Entry 2:
Below is Cs2Sb5Au4 after structural relaxation, with properties calculated at the PBE-GGA level.

Summary:
The energy relative to the elements, uncorrected comes out at -0.127 eV per atom. The density of states at the Fermi level is 0.4064 states/eV/atom. The symmetry is C2/m, No. 12.

Unit cell a=6.4268 b=8.0526 c=8.1445 alpha=76.79 beta=66.76 gamma=66.48
Last column: nearest neighbours and their distance in Å.
Fractional positions:
Sb1 0.7093 0.2828 0.8269  3 Au 2.85-2.90, 2 Sb 3.03-3.19
Sb2 0.1810 0.2828 0.8269  3 Au 2.85-2.90, 2 Sb 3.03-3.19
Sb3 0.8190 0.7172 0.1731  3 Au 2.85-2.90, 2 Sb 3.03-3.19
Sb4 0.2907 0.7172 0.1731  3 Au 2.85-2.90, 2 Sb 3.03-3.19
Sb5 0.0000 0.5000 0.5000  2 Au 3.12, 4 Sb 3.19
Cs1 0.7266 0.2041 0.3427  5 Au 3.69-3.88, 4 Sb 4.09-4.11
Cs2 0.2734 0.7959 0.6573  5 Au 3.69-3.88, 4 Sb 4.09-4.11
Au1 0.2501 0.3954 0.1043  1 Au 2.76, 4 Sb 2.86-2.90
Au2 0.7499 0.6046 0.8957  1 Au 2.76, 4 Sb 2.86-2.90
Au3 0.3912 0.0253 0.1923  2 Au 2.76-2.93, 2 Sb 2.85
Au4 0.6088 0.9747 0.8077  2 Au 2.76-2.93, 2 Sb 2.85

---

Entry 3:
Below is Ca3Ag3Pt after structural relaxation, with properties calculated at the PBE-GGA level.

Summary:
The density of states at the Fermi level is 0.4670 states/eV/atom. The formation energy comes out at -0.440 eV per atom. The symmetry is C2/m, No. 12.

Unit cell a=4.0706 b=5.7639 c=15.9823 alpha=83.02 beta=82.68 gamma=69.32
Last column: nearest neighbours and their distance in Å.
Fractional positions:
Pt1 0.7829 0.0672 0.3670  4 Ag 2.77-2.90, 4 Ca 2.93-3.03
Pt2 0.2171 0.9328 0.6330  4 Ag 2.77-2.90, 4 Ca 2.93-3.03
Ag1 0.1498 0.2287 0.4717  3 Pt 2.81-2.90, 1 Ag 3.13
Ag2 0.1055 0.8650 0.9239  2 Ag 2.86-2.92, 3 Ca 3.05-3.11
Ag3 0.9880 0.7987 0.2254  1 Pt 2.77, 1 Ag 2.86, 1 Ca 3.06
Ag4 0.8502 0.7713 0.5283  3 Pt 2.81-2.90, 1 Ag 3.13
Ag5 0.8945 0.1350 0.0761  2 Ag 2.86-2.92, 3 Ca 3.05-3.11
Ag6 0.0120 0.2013 0.7746  1 Pt 2.77, 1 Ag 2.86, 1 Ca 3.06
Ca1 0.4833 0.6489 0.3845  3 Pt 3.03-3.17, 6 Ag 3.17-3.29
Ca2 0.6115 0.6999 0.0771  7 Ag 3.05-3.24
Ca3 0.7354 0.7707 0.7585  2 Pt 2.93, 3 Ag 3.06-3.11
Ca4 0.2646 0.2293 0.2415  2 Pt 2.93, 3 Ag 3.06-3.11
Ca5 0.3885 0.3001 0.9229  7 Ag 3.05-3.24
Ca6 0.5167 0.3511 0.6155  3 Pt 3.03-3.17, 6 Ag 3.17-3.29